# TmPu2Pa (GGA-PBE, relaxed)
data_TmPu2Pa
_chemical_formula_sum 'Tm1 Pu2 Pa1'
_cell_length_a 3.339
_cell_length_b 3.339
_cell_length_c 9.246
_cell_angle_alpha 90.00
_cell_angle_beta 90.00
_cell_angle_gamma 90.00
_space_group_name_H-M_alt 'P 1'
_space_group_IT_number 1
loop_
_space_group_symop_operation_xyz
'x,y,z'
loop_
_atom_site_label
_atom_site_fract_x
_atom_site_fract_y
_atom_site_fract_z
Pu1 0.000 0.000 0.226
Pu2 0.000 0.000 0.774
Pa1 0.500 0.500 0.000
Tm1 0.500 0.500 0.500
# Energy of formation from the pure elements (eV per atom): 0.11
# Offset from the most stable computed form (eV/atom): 0.000
# DOS(E_F) (states/eV/atom): 2.58

# PuUPa14 (GGA-PBE, relaxed)
data_PuUPa14
_chemical_formula_sum 'Pu1 U1 Pa14'
_cell_length_a 6.621
_cell_length_b 6.621
_cell_length_c 9.038
_cell_angle_alpha 90.00
_cell_angle_beta 90.00
_cell_angle_gamma 89.98
_space_group_name_H-M_alt 'P 1'
_space_group_IT_number 1
loop_
_space_group_symop_operation_xyz
'x,y,z'
loop_
_atom_site_label
_atom_site_fract_x
_atom_site_fract_y
_atom_site_fract_z
Pu1 0.375 0.625 0.000
Pa1 0.875 0.125 0.500
Pa2 0.625 0.875 0.247
Pa3 0.125 0.375 0.247
Pa4 0.125 0.375 0.753
Pa5 0.625 0.375 0.247
Pa6 0.125 0.875 0.247
Pa7 0.625 0.375 0.753
Pa8 0.875 0.625 0.000
Pa9 0.125 0.875 0.753
Pa10 0.375 0.625 0.500
Pa11 0.875 0.625 0.500
Pa12 0.625 0.875 0.753
Pa13 0.375 0.125 0.500
Pa14 0.375 0.125 0.000
U1 0.875 0.125 0.000
# Energy of formation from the pure elements (eV per atom): 0.03
# DOS(E_F) (states/eV/atom): 1.74

# Pu2UPa (GGA-PBE, relaxed)
data_Pu2UPa
_chemical_formula_sum 'Pu2 U1 Pa1'
_cell_length_a 3.811
_cell_length_b 3.811
_cell_length_c 7.682
_cell_angle_alpha 75.64
_cell_angle_beta 75.64
_cell_angle_gamma 60.00
_space_group_name_H-M_alt 'P 1'
_space_group_IT_number 1
loop_
_space_group_symop_operation_xyz
'x,y,z'
loop_
_atom_site_label
_atom_site_fract_x
_atom_site_fract_y
_atom_site_fract_z
Pu1 0.113 0.113 0.662
Pu2 0.887 0.887 0.338
Pa1 0.000 0.000 0.000
U1 0.500 0.500 0.500
# Energy of formation from the pure elements (eV per atom): 0.78
# Offset from the most stable computed form (eV/atom): 0.604
# DOS(E_F) (states/eV/atom): 3.46

# Pu2UPa (GGA-PBE, relaxed)
data_Pu2UPa
_chemical_formula_sum 'Pu2 U1 Pa1'
_cell_length_a 3.749
_cell_length_b 3.749
_cell_length_c 6.190
_cell_angle_alpha 90.00
_cell_angle_beta 90.00
_cell_angle_gamma 90.00
_space_group_name_H-M_alt 'P 1'
_space_group_IT_number 1
loop_
_space_group_symop_operation_xyz
'x,y,z'
loop_
_atom_site_label
_atom_site_fract_x
_atom_site_fract_y
_atom_site_fract_z
Pa1 0.500 0.500 0.500
Pu1 0.000 0.000 0.244
Pu2 0.000 0.000 0.756
U1 0.500 0.500 0.000
# Energy of formation from the pure elements (eV per atom): 0.18
# Offset from the most stable computed form (eV/atom): 0.000
# DOS(E_F) (states/eV/atom): 2.53

# PuU2Pa (GGA-PBE, relaxed)
data_PuU2Pa
_chemical_formula_sum 'Pu1 U2 Pa1'
_cell_length_a 3.324
_cell_length_b 3.324
_cell_length_c 7.653
_cell_angle_alpha 90.00
_cell_angle_beta 90.00
_cell_angle_gamma 90.00
_space_group_name_H-M_alt 'P 1'
_space_group_IT_number 1
loop_
_space_group_symop_operation_xyz
'x,y,z'
loop_
_atom_site_label
_atom_site_fract_x
_atom_site_fract_y
_atom_site_fract_z
Pa1 0.500 0.500 0.500
U1 0.000 0.000 0.215
U2 0.000 0.000 0.785
Pu1 0.500 0.500 0.000
# Energy of formation from the pure elements (eV per atom): 0.22
# Offset from the most stable computed form (eV/atom): 0.025
# DOS(E_F) (states/eV/atom): 2.51

# PuU2Pa8 (GGA-PBE, relaxed)
data_PuU2Pa8
_chemical_formula_sum 'Pu1 U2 Pa8'
_cell_length_a 5.657
_cell_length_b 7.553
_cell_length_c 7.553
_cell_angle_alpha 68.32
_cell_angle_beta 73.39
_cell_angle_gamma 73.39
_space_group_name_H-M_alt 'P 1'
_space_group_IT_number 1
loop_
_space_group_symop_operation_xyz
'x,y,z'
loop_
_atom_site_label
_atom_site_fract_x
_atom_site_fract_y
_atom_site_fract_z
Pa1 0.256 0.606 0.606
Pa2 0.744 0.394 0.394
Pa3 0.744 0.822 0.431
Pa4 0.256 0.178 0.569
Pa5 0.256 0.569 0.178
Pa6 0.726 0.871 0.871
Pa7 0.274 0.129 0.129
Pa8 0.744 0.431 0.822
U1 0.318 0.809 0.809
U2 0.682 0.191 0.191
Pu1 0.000 0.000 0.000
# Energy of formation from the pure elements (eV per atom): 0.42
# DOS(E_F) (states/eV/atom): 2.85

# Pu2UPa (GGA-PBE, relaxed)
data_Pu2UPa
_chemical_formula_sum 'Pu2 U1 Pa1'
_cell_length_a 3.070
_cell_length_b 5.317
_cell_length_c 5.317
_cell_angle_alpha 90.00
_cell_angle_beta 90.00
_cell_angle_gamma 90.00
_space_group_name_H-M_alt 'P 1'
_space_group_IT_number 1
loop_
_space_group_symop_operation_xyz
'x,y,z'
loop_
_atom_site_label
_atom_site_fract_x
_atom_site_fract_y
_atom_site_fract_z
Pu1 0.000 0.000 0.500
Pu2 0.000 0.500 0.000
U1 0.500 0.000 0.000
Pa1 0.500 0.500 0.500
# Energy of formation from the pure elements (eV per atom): 0.19
# Offset from the most stable computed form (eV/atom): 0.011
# DOS(E_F) (states/eV/atom): 2.67

# Pu2UPa8 (GGA-PBE, relaxed)
data_Pu2UPa8
_chemical_formula_sum 'Pu2 U1 Pa8'
_cell_length_a 5.865
_cell_length_b 7.038
_cell_length_c 7.038
_cell_angle_alpha 72.95
_cell_angle_beta 89.21
_cell_angle_gamma 89.21
_space_group_name_H-M_alt 'P 1'
_space_group_IT_number 1
loop_
_space_group_symop_operation_xyz
'x,y,z'
loop_
_atom_site_label
_atom_site_fract_x
_atom_site_fract_y
_atom_site_fract_z
Pa1 0.222 0.134 0.534
Pa2 0.403 0.129 0.129
Pa3 0.778 0.466 0.866
Pa4 0.778 0.866 0.466
Pa5 0.265 0.591 0.591
Pa6 0.597 0.871 0.871
Pa7 0.735 0.409 0.409
Pa8 0.222 0.534 0.134
Pu1 0.808 0.189 0.189
Pu2 0.192 0.811 0.811
U1 0.000 0.000 0.000
# Energy of formation from the pure elements (eV per atom): 0.24
# DOS(E_F) (states/eV/atom): 1.96

# PuU2Pa (GGA-PBE, relaxed)
data_PuU2Pa
_chemical_formula_sum 'Pu1 U2 Pa1'
_cell_length_a 3.070
_cell_length_b 5.297
_cell_length_c 5.297
_cell_angle_alpha 90.00
_cell_angle_beta 90.00
_cell_angle_gamma 90.00
_space_group_name_H-M_alt 'P 1'
_space_group_IT_number 1
loop_
_space_group_symop_operation_xyz
'x,y,z'
loop_
_atom_site_label
_atom_site_fract_x
_atom_site_fract_y
_atom_site_fract_z
Pu1 0.500 0.000 0.000
U1 0.000 0.000 0.500
U2 0.000 0.500 0.000
Pa1 0.500 0.500 0.500
# Energy of formation from the pure elements (eV per atom): 0.19
# Offset from the most stable computed form (eV/atom): 0.000
# DOS(E_F) (states/eV/atom): 2.65

# PuZrUPa (GGA-PBE, relaxed)
data_PuZrUPa
_chemical_formula_sum 'Pu1 Zr1 U1 Pa1'
_cell_length_a 5.077
_cell_length_b 5.077
_cell_length_c 5.077
_cell_angle_alpha 60.00
_cell_angle_beta 60.00
_cell_angle_gamma 60.00
_space_group_name_H-M_alt 'P 1'
_space_group_IT_number 1
loop_
_space_group_symop_operation_xyz
'x,y,z'
loop_
_atom_site_label
_atom_site_fract_x
_atom_site_fract_y
_atom_site_fract_z
Zr1 0.250 0.250 0.250
Pu1 0.000 0.000 0.000
Pa1 0.750 0.750 0.750
U1 0.500 0.500 0.500
# Energy of formation from the pure elements (eV per atom): 0.30
# DOS(E_F) (states/eV/atom): 2.47

# PuPaV (GGA-PBE, relaxed)
data_PuPaV
_chemical_formula_sum 'Pu2 Pa2 V2'
_cell_length_a 3.187
_cell_length_b 5.483
_cell_length_c 7.479
_cell_angle_alpha 86.31
_cell_angle_beta 111.02
_cell_angle_gamma 88.40
_space_group_name_H-M_alt 'P 1'
_space_group_IT_number 1
loop_
_space_group_symop_operation_xyz
'x,y,z'
loop_
_atom_site_label
_atom_site_fract_x
_atom_site_fract_y
_atom_site_fract_z
Pa1 0.228 0.263 0.487
Pa2 0.772 0.737 0.513
V1 0.585 0.651 0.872
V2 0.415 0.349 0.128
Pu1 0.982 0.835 0.167
Pu2 0.018 0.165 0.833
# Energy of formation from the pure elements (eV per atom): 0.24
# Offset from the most stable computed form (eV/atom): 0.099
# DOS(E_F) (states/eV/atom): 1.99

# PuPaV (GGA-PBE, relaxed)
data_PuPaV
_chemical_formula_sum 'Pu1 Pa1 V1'
_cell_length_a 2.895
_cell_length_b 4.821
_cell_length_c 4.821
_cell_angle_alpha 120.00
_cell_angle_beta 90.00
_cell_angle_gamma 90.00
_space_group_name_H-M_alt 'P 1'
_space_group_IT_number 1
loop_
_space_group_symop_operation_xyz
'x,y,z'
loop_
_atom_site_label
_atom_site_fract_x
_atom_site_fract_y
_atom_site_fract_z
Pu1 0.833 0.000 0.000
V1 0.333 0.333 0.667
Pa1 0.833 0.667 0.333
# Energy of formation from the pure elements (eV per atom): 0.18
# Offset from the most stable computed form (eV/atom): 0.036
# DOS(E_F) (states/eV/atom): 1.84